Record 1
HoNpRh2: relaxed, PBE.

Structure (CIF):
```
data_HoNpRh2
_symmetry_space_group_name_H-M 'P 4/m m m'
_symmetry_Int_Tables_number 123
_symmetry_space_group_name_Hall '-P 4 2'
_cell_length_a 4.848
_cell_length_b 4.848
_cell_length_c 3.380
_cell_angle_alpha 90.00
_cell_angle_beta 90.00
_cell_angle_gamma 90.00
loop_
_atom_site_label
_atom_site_fract_x
_atom_site_fract_y
_atom_site_fract_z
Ho1 0.000 0.000 0.000
Np1 0.500 0.500 0.000
Rh1 0.000 0.500 0.500
```

E above lowest polymorph: 0.000 eV/atom
DFT formation energy: -204.7 kJ/mol of formula units



Record 2
Pm2Cd2In3: relaxed, PBE.

Structure (CIF):
```
data_Pm2Cd2In3
_symmetry_space_group_name_H-M 'C m m m'
_symmetry_Int_Tables_number 65
_symmetry_space_group_name_Hall '-C 2 2'
_cell_length_a 4.854
_cell_length_b 21.621
_cell_length_c 3.574
_cell_angle_alpha 90.00
_cell_angle_beta 90.00
_cell_angle_gamma 90.00
loop_
_atom_site_label
_atom_site_fract_x
_atom_site_fract_y
_atom_site_fract_z
Pm1 0.000 0.152 0.000
Cd1 0.000 0.285 0.500
In1 0.000 0.000 0.000
In2 0.000 0.427 0.500
```

E above lowest polymorph: 0.081 eV/atom
DFT formation energy: -187.3 kJ/mol of formula units



Record 3
CsLaNpS4: relaxed, PBE.

Structure (CIF):
```
data_CsLaNpS4
_symmetry_space_group_name_H-M 'I m m a'
_symmetry_Int_Tables_number 74
_symmetry_space_group_name_Hall '-I 2b 2'
_cell_length_a 8.433
_cell_length_b 9.045
_cell_length_c 12.380
_cell_angle_alpha 90.00
_cell_angle_beta 90.00
_cell_angle_gamma 90.00
loop_
_atom_site_label
_atom_site_fract_x
_atom_site_fract_y
_atom_site_fract_z
Cs1 0.000 0.250 0.137
La1 0.000 0.000 0.500
Np1 0.250 0.250 0.750
S1 0.000 0.060 0.733
S2 0.213 0.250 0.533
```

Formation energy from raw total energies: -1.561 eV/atom